A plane-wave DFT calculation with GGA-PBE was carried out for an optimized crystal structure of ReSnIr2I.

Geometry as CIF:
```
data_ReSnIr2I
_symmetry_space_group_name_H-M 'P 4/m m m'
_symmetry_Int_Tables_number 123
_symmetry_space_group_name_Hall '-P 4 2'
_cell_length_a 4.841
_cell_length_b 4.841
_cell_length_c 5.635
_cell_angle_alpha 90.00
_cell_angle_beta 90.00
_cell_angle_gamma 90.00
loop_
_atom_site_label
_atom_site_type_symbol
_atom_site_fract_x
_atom_site_fract_y
_atom_site_fract_z
Re1 Re 0.000 0.000 0.000
Sn1 Sn 0.500 0.500 0.000
Ir1 Ir 0.000 0.500 0.500
I1 I 0.500 0.500 0.500
```

## Properties
DOS(E_F) ... 6.41 states/eV/cell
Crystal system ... tetragonal
Formation energy from raw total energies ... 12.73 eV/f.u.